(1)
An optimized crystal structure of ScPb3O. Source: the Alexandria database, functional PBE-GGA.

Properties
Raw formation energy = -28.2 kJ per mole of atoms
Calculated total energy = -4.78 eV per atom
Spin magnetization = 0.000 Bohr magnetons per cell
Volume = 122.7 Å³/f.u.

extended XYZ file:
```
5
Lattice="4.9688 0.0000 0.0000 0.0000 4.9688 0.0000 0.0000 0.0000 4.9688" Properties=species:S:1:pos:R:3 pbc="T T T"
Sc 0.0000 0.0000 0.0000
Pb 0.0000 2.4844 2.4844
Pb 2.4844 0.0000 2.4844
Pb 2.4844 2.4844 0.0000
O 2.4844 2.4844 2.4844
```



(2)
An optimized crystal structure of ScPb2O. Source: the Alexandria database, functional PBE-GGA.

Properties
Raw formation energy = -23.8 kJ per mole of atoms
Calculated total energy = -4.92 eV per atom
Spin magnetization = 0.001 Bohr magnetons per cell
Volume = 90.5 Å³/f.u.

extended XYZ file:
```
8
Lattice="-3.6782 3.6782 3.3455 3.6782 -3.6782 3.3455 3.6782 3.6782 -3.3455" Properties=species:S:1:pos:R:3 pbc="T T T"
Sc 0.0000 0.0000 0.0000
Sc 0.0000 3.6782 1.6727
Pb 1.8391 -1.3419 2.5091
Pb 2.3363 1.8391 0.8364
Pb 1.8391 5.0201 -0.8364
Pb 1.3419 1.8391 4.1819
O 3.6782 0.0000 1.6727
O 0.0000 0.0000 3.3455
```



(3)
An optimized crystal structure of ScPbO2. Source: the Alexandria database, functional PBE-GGA.

Properties
Raw formation energy = -140.7 kJ per mole of atoms
Calculated total energy = -6.45 eV per atom
Spin magnetization = 0.000 Bohr magnetons per cell
Volume = 79.5 Å³/f.u.

extended XYZ file:
```
4
Lattice="1.8602 1.0740 6.6295 -1.8602 1.0740 6.6295 0.0000 -2.1480 6.6295" Properties=species:S:1:pos:R:3 pbc="T T T"
Sc 0.0000 0.0000 0.0000
Pb 0.0000 0.0000 9.9443
O 0.0000 0.0000 1.9212
O 0.0000 0.0000 17.9673
```



(4)
An optimized crystal structure of ScPbO2. Source: the Alexandria database, functional PBE-GGA.

Properties
Raw formation energy = -213.0 kJ per mole of atoms
Calculated total energy = -7.20 eV per atom
Spin magnetization = 0.000 Bohr magnetons per cell
Volume = 66.1 Å³/f.u.

extended XYZ file:
```
16
Lattice="6.2649 0.0000 0.0000 0.0000 3.8957 0.0000 0.0000 0.0000 10.8261" Properties=species:S:1:pos:R:3 pbc="T T T"
Sc 0.0025 0.9739 1.3465
Sc 6.2624 2.9218 9.4796
Sc 3.1349 0.9739 4.0665
Sc 3.1300 2.9218 6.7596
Pb 0.1984 0.9739 6.8008
Pb 2.9340 2.9218 1.3877
Pb 3.3309 0.9739 9.4383
Pb 6.0665 2.9218 4.0253
O 0.5340 2.9218 0.7553
O 1.5165 0.9739 2.8452
O 1.6159 2.9218 8.2582
O 2.5984 0.9739 6.1683
O 3.6665 2.9218 4.6577
O 4.6490 0.9739 2.5679
O 4.7484 2.9218 7.9809
O 5.7309 0.9739 10.0708
```



(5)
An optimized crystal structure of Sc5Pb3O12. Source: the Alexandria database, functional PBE-GGA.

Properties
Raw formation energy = -230.2 kJ per mole of atoms
Calculated total energy = -7.50 eV per atom
Spin magnetization = 0.000 Bohr magnetons per cell
Volume = 284.7 Å³/f.u.

extended XYZ file:
```
80
Lattice="-6.5786 6.5786 6.5786 6.5786 -6.5786 6.5786 6.5786 6.5786 -6.5786" Properties=species:S:1:pos:R:3 pbc="T T T"
Sc 0.0000 0.0000 0.0000
Sc 3.2893 3.2893 -3.2893
Sc 3.2893 -3.2893 3.2893
Sc 6.5786 0.0000 0.0000
Sc 9.8679 1.6447 0.0000
Sc 6.5786 -3.2893 4.9340
Sc 4.9340 6.5786 -3.2893
Sc 4.9340 0.0000 3.2893
Sc 3.2893 4.9340 0.0000
Sc 6.5786 3.2893 1.6447
Sc -3.2893 3.2893 3.2893
Sc 0.0000 6.5786 0.0000
Sc 0.0000 0.0000 6.5786
Sc 3.2893 3.2893 3.2893
Sc 0.0000 3.2893 4.9340
Sc 3.2893 1.6447 6.5786
Sc 1.6447 6.5786 3.2893
Sc 1.6447 0.0000 9.8679
Sc 0.0000 9.8679 1.6447
Sc -3.2893 4.9340 6.5786
Pb 3.2893 1.6447 0.0000
Pb 6.5786 3.2893 -1.6447
Pb 1.6447 0.0000 3.2893
Pb 8.2233 0.0000 3.2893
Pb 0.0000 3.2893 1.6447
Pb 3.2893 -1.6447 6.5786
Pb 3.2893 8.2233 0.0000
Pb 6.5786 3.2893 4.9340
Pb -1.6447 6.5786 3.2893
Pb 4.9340 6.5786 3.2893
Pb 0.0000 3.2893 8.2233
Pb 3.2893 4.9340 6.5786
O 1.9599 -0.3778 0.7565
O 7.9081 4.0458 -3.6671
O 8.5385 0.3778 0.7565
O 7.9081 -2.5328 3.6671
O 6.2008 -0.7565 1.9599
O 10.2457 -1.3294 2.5328
O 0.7565 1.9599 -0.3778
O 9.1114 2.9115 -1.3294
O 4.0458 3.6671 -1.3294
O 5.8221 1.9599 0.3778
O -0.3778 0.7565 1.9599
O 3.6671 -1.3294 4.0458
O 6.2008 5.8221 -1.9599
O 3.6671 1.3294 2.5328
O 4.0458 -3.6671 7.9081
O 5.8221 -1.9599 6.2008
O 2.5328 3.6671 1.3294
O 7.3351 4.6187 0.3778
O 3.6671 7.9081 -2.5328
O 6.2008 0.7565 4.6187
O 1.9599 6.2008 -0.7565
O 7.9081 2.5328 2.9115
O 1.3294 2.5328 3.6671
O 1.9599 0.3778 5.8221
O 4.6187 6.2008 0.7565
O 5.2492 4.0458 2.9115
O -1.3294 4.0458 3.6671
O 4.6187 0.3778 7.3351
O 0.3778 5.8221 1.9599
O 2.9115 -1.3294 9.1114
O -0.7565 1.9599 6.2008
O 4.0458 2.9115 5.2492
O 0.7565 8.5385 0.3778
O 2.5328 10.2457 -1.3294
O 2.9115 5.2492 4.0458
O 0.3778 0.7565 8.5385
O 2.9115 7.9081 2.5328
O 6.9564 5.8221 4.6187
O 0.7565 4.6187 6.2008
O 2.5328 2.9115 7.9081
O -2.5328 3.6671 7.9081
O 5.8221 4.6187 6.9564
O -3.6671 7.9081 4.0458
O 0.3778 7.3351 4.6187
O -1.3294 9.1114 2.9115
O -1.9599 6.2008 5.8221
O -1.3294 2.5328 10.2457
O 4.6187 6.9564 5.8221
```



(6)
An optimized crystal structure of Sc5PbO2. Source: the Alexandria database, functional PBE-GGA.

Properties
Raw formation energy = -137.5 kJ per mole of atoms
Calculated total energy = -7.09 eV per atom
Spin magnetization = 1.767 Bohr magnetons per cell
Volume = 153.9 Å³/f.u.

extended XYZ file:
```
8
Lattice="-2.1452 2.1452 8.3585 2.1452 -2.1452 8.3585 2.1452 2.1452 -8.3585" Properties=species:S:1:pos:R:3 pbc="T T T"
Sc 0.0000 0.0000 0.0000
Sc 2.1452 0.0000 2.5497
Sc 2.1452 0.0000 5.8088
Sc 0.0000 2.1452 2.5497
Sc 0.0000 2.1452 5.8088
Pb 0.0000 0.0000 8.3585
O 0.0000 0.0000 2.1250
O 0.0000 0.0000 14.5919
```



(7)
An optimized crystal structure of Sc4Pb3O. Source: the Alexandria database, functional PBE-GGA.

Properties
Raw formation energy = -72.0 kJ per mole of atoms
Calculated total energy = -5.92 eV per atom
Spin magnetization = 0.000 Bohr magnetons per cell
Volume = 208.5 Å³/f.u.

extended XYZ file:
```
16
Lattice="7.3819 0.0000 0.0000 0.0000 9.3864 0.0000 0.0000 0.0000 6.0193" Properties=species:S:1:pos:R:3 pbc="T T T"
Sc 0.0000 0.4493 0.0000
Sc 0.0000 7.5501 2.3553
Sc 1.6789 6.5324 5.7595
Sc 2.0121 2.8540 2.7499
Sc 3.6910 1.8363 5.3650
Sc 3.6910 8.9371 3.0097
Sc 5.3698 2.8540 2.7499
Sc 5.7031 6.5324 5.7595
Pb 0.0000 0.8171 3.0931
Pb 1.4920 3.5292 5.8390
Pb 2.1990 5.8572 2.8294
Pb 3.6910 8.5694 0.0834
Pb 5.1829 5.8572 2.8294
Pb 5.8900 3.5292 5.8390
O 0.0000 7.6292 0.2575
O 3.6910 1.7573 3.2672
```



(8)
An optimized crystal structure of Sc5Pb4O. Source: the Alexandria database, functional PBE-GGA.

Properties
Raw formation energy = -68.4 kJ per mole of atoms
Calculated total energy = -5.85 eV per atom
Spin magnetization = 0.002 Bohr magnetons per cell
Volume = 235.6 Å³/f.u.

extended XYZ file:
```
10
Lattice="-4.4370 4.4370 2.9914 4.4370 -4.4370 2.9914 4.4370 4.4370 -2.9914" Properties=species:S:1:pos:R:3 pbc="T T T"
Sc 0.0000 0.0000 0.0000
Sc 5.4269 2.4277 0.4779
Sc 2.4277 3.4472 0.4779
Sc 2.0093 0.9898 3.4693
Sc -0.9898 2.0093 3.4693
Pb 5.9696 -0.5522 0.5111
Pb 2.9045 0.5522 0.5111
Pb -0.5522 2.9045 0.5111
Pb 0.5522 5.9696 0.5111
O 0.0000 0.0000 3.8369
```